No. 1
4
Lattice="3.3930 0.0000 0.0000 0.0000 3.4669 0.0000 0.0000 0.0000 8.5688" Properties=species:S:1:pos:R:3 comment="PBE BaMg2Pt, optimized geometry" ef_mev_per_atom=-357 density_g_cm3=6.3 m_tot_mub_per_atom=0.000 space_group="Pmmm (47)" pbc="T T T"
Ba 0.0000 0.0000 0.0000
Mg 1.6965 1.7335 2.8673
Mg 1.6965 1.7335 5.7015
Pt 0.0000 0.0000 4.2844


No. 2
28
Lattice="8.0347 -6.9515 0.0000 8.0347 6.9515 0.0000 -2.6998 0.0000 6.1473" Properties=species:S:1:pos:R:3 comment="PBE Tl2Zn2S3, optimized geometry" e_form_raw_ev_per_atom=-0.543 density_g_cm3=6.1 m_tot_mub_per_atom=0.000 space_group="C2/c (15)" pbc="T T T"
Tl 6.0098 6.0369 4.6105
Tl 7.3597 4.1596 1.5368
Tl 4.1934 1.2574 5.4024
Tl 5.5433 -1.2574 2.3288
Tl 7.8263 1.2574 3.8185
Tl 9.1762 -1.2574 0.7449
Tl 6.0098 -4.1596 4.6105
Tl 7.3597 -6.0369 1.5368
Zn 3.8788 3.8940 2.3003
Zn 3.3393 1.1179 0.8693
Zn 1.9894 -1.1179 3.9429
Zn 10.8407 3.8940 0.7733
Zn 2.5288 -3.8940 5.3739
Zn 11.3802 1.1179 2.2044
Zn 10.0303 -1.1179 5.2780
Zn 9.4908 -3.8940 3.8470
S 3.5436 4.1098 4.6622
S 0.9562 0.9226 4.6838
S 5.2596 2.0275 1.9536
S 2.3061 -0.9226 1.6102
S 8.4761 4.1098 4.5587
S 9.4599 2.0275 1.1200
S 3.9097 -2.0275 5.0273
S 4.8935 -4.1098 1.5886
S 11.0635 0.9226 4.5371
S 8.1100 -2.0275 4.1937
S 12.4134 -0.9226 1.4635
S 9.8260 -4.1098 1.4851


No. 3
10
Lattice="4.6019 -7.8515 0.0000 4.6019 7.8515 0.0000 0.0000 0.0000 5.2942" Properties=species:S:1:pos:R:3 comment="PBE Tb7HoTl2, optimized geometry" ef_mev_per_atom=362 density_g_cm3=7.3 m_tot_mub_per_atom=0.000 space_group="Cmmm (65)" pbc="T T T"
Tb 0.0000 0.0000 0.0000
Tb 2.9293 1.8730 0.0000
Tb 4.6019 3.5162 2.6471
Tb 2.9293 -1.8730 0.0000
Tb 6.2745 1.8730 0.0000
Tb 4.6019 -3.5162 2.6471
Tb 6.2745 -1.8730 0.0000
Ho 4.6019 0.0000 2.6471
Tl 4.6019 4.8123 0.0000
Tl 4.6019 -4.8123 0.0000


No. 4
4
Lattice="2.6849 -4.5773 0.0000 2.6849 4.5773 0.0000 -1.4810 0.0000 2.6791" Properties=species:S:1:pos:R:3 comment="PBE CuRe2Te, optimized geometry" e_form_raw_ev_per_atom=0.895 density_g_cm3=14.2 m_tot_mub_per_atom=0.000 space_group="C2/m (12)" pbc="T T T"
Cu 0.0000 0.0000 0.0000
Re 0.6019 2.2887 1.3396
Re 0.6019 -2.2887 1.3396
Te 2.6849 0.0000 0.0000


No. 5
12
Lattice="2.1030 1.2141 8.7775 -2.1030 1.2141 8.7775 0.0000 -2.4283 8.7775" Properties=species:S:1:pos:R:3 comment="PBE CsNdB2H8, optimized geometry" total_energy_ev_per_atom=-4.12 density_g_cm3=3.8 m_tot_mub_per_atom=0.000 space_group="R-3m (166)" pbc="T T T"
Cs 0.0000 0.0000 0.0000
Nd 0.0000 0.0000 13.1662
B 0.0000 0.0000 6.1935
B 0.0000 0.0000 20.1390
H 0.0000 -1.1768 5.7755
H -1.0191 0.5884 5.7755
H 0.0000 0.0000 7.4190
H -1.0191 -0.5884 20.5570
H 1.0191 0.5884 5.7755
H 0.0000 0.0000 18.9135
H 1.0191 -0.5884 20.5570
H 0.0000 1.1768 20.5570


No. 6
4
Lattice="1.3839 0.7990 9.0103 -1.3839 0.7990 9.0103 0.0000 -1.5980 9.0103" Properties=species:S:1:pos:R:3 comment="PBE CdCu2Re, optimized geometry" ef_mev_per_atom=288 density_g_cm3=11.8 m_tot_mub_per_atom=0.060 space_group="R-3m (166)" pbc="T T T"
Cd 0.0000 0.0000 0.0000
Cu 0.0000 0.0000 6.6372
Cu 0.0000 0.0000 20.3936
Re 0.0000 0.0000 13.5154